(1)
Below is a relaxed structure of Ac3Pd2Au, with properties calculated at the PBE-GGA level.

Cell: 4.091 18.982 4.786 Å, 90.00 90.00 90.00°
Fractional coordinates of all 12 atoms:
Ac 0.000 0.000 0.000
Ac 0.000 0.158 0.500
Ac 0.000 0.842 0.500
Ac 0.500 0.342 0.500
Ac 0.500 0.500 0.000
Ac 0.500 0.658 0.500
Pd 0.000 0.373 0.000
Pd 0.000 0.627 0.000
Pd 0.500 0.127 0.000
Pd 0.500 0.873 0.000
Au 0.000 0.500 0.500
Au 0.500 0.000 0.500

Calculated values
Calculated total energy, hartree per atom: -0.1802
Distance to the lowest polymorph of the same formula, meV/atom: 175.7
Energy of formation from the pure elements, kJ per mole of atoms: -55
D(E_F), states/eV/f.u.: 5.4
Space-group type: Cmmm

***

(2)
Below is a relaxed structure of AcPdAu, with properties calculated at the PBE-GGA level.

Cell: 11.106 4.552 7.676 Å, 90.00 129.24 90.00°
Fractional coordinates of all 12 atoms:
Ac 0.039 0.000 0.290
Ac 0.461 0.500 0.710
Ac 0.539 0.500 0.290
Ac 0.961 0.000 0.710
Pd 0.154 0.500 0.681
Pd 0.346 0.000 0.319
Pd 0.654 0.000 0.681
Pd 0.846 0.500 0.319
Au 0.166 0.500 0.113
Au 0.334 0.000 0.887
Au 0.666 0.000 0.113
Au 0.834 0.500 0.887

Calculated values
Calculated total energy, hartree per atom: -0.1841
Distance to the lowest polymorph of the same formula, meV/atom: 9.2
Energy of formation from the pure elements, kJ per mole of atoms: -79
D(E_F), states/eV/f.u.: 1.4
Space-group type: C2/m

***

(3)
Below is a relaxed structure of Ac2Pd3Au, with properties calculated at the PBE-GGA level.

Cell: 4.174 4.210 17.446 Å, 90.00 90.00 90.00°
Fractional coordinates of all 12 atoms:
Ac 0.000 0.000 0.000
Ac 0.000 0.500 0.239
Ac 0.500 0.000 0.739
Ac 0.500 0.500 0.500
Pd 0.000 0.000 0.568
Pd 0.000 0.500 0.661
Pd 0.000 0.500 0.814
Pd 0.500 0.000 0.161
Pd 0.500 0.000 0.314
Pd 0.500 0.500 0.068
Au 0.000 0.000 0.413
Au 0.500 0.500 0.913

Calculated values
Calculated total energy, hartree per atom: -0.1945
Distance to the lowest polymorph of the same formula, meV/atom: 17.1
Energy of formation from the pure elements, kJ per mole of atoms: -75
D(E_F), states/eV/f.u.: 2.4
Space-group type: Imm2

***

(4)
Below is a relaxed structure of Ac4PdAu, with properties calculated at the PBE-GGA level.

Cell: 8.658 8.658 8.658 Å, 106.42 106.42 115.77°
Fractional coordinates of all 12 atoms:
Ac 0.182 0.483 0.699
Ac 0.233 0.034 0.801
Ac 0.233 0.432 0.199
Ac 0.299 0.000 0.299
Ac 0.701 0.000 0.701
Ac 0.750 0.549 0.799
Ac 0.750 0.951 0.201
Ac 0.784 0.483 0.301
Pd 0.741 0.241 0.500
Pd 0.991 0.991 0.000
Au 0.241 0.741 0.500
Au 0.491 0.491 0.000

Calculated values
Calculated total energy, hartree per atom: -0.1677
Distance to the lowest polymorph of the same formula, meV/atom: 88.8
Energy of formation from the pure elements, kJ per mole of atoms: -40
D(E_F), states/eV/f.u.: 7.8
Space-group type: I4_1md

***

(5)
Below is a relaxed structure of Ac6PdAu5, with properties calculated at the PBE-GGA level.

Cell: 9.533 9.533 9.533 Å, 146.39 131.80 60.05°
Fractional coordinates of all 12 atoms:
Ac 0.083 0.335 0.748
Ac 0.246 0.000 0.246
Ac 0.413 0.665 0.748
Ac 0.587 0.335 0.252
Ac 0.754 0.000 0.754
Ac 0.917 0.665 0.252
Pd 0.000 0.500 0.500
Au 0.169 0.169 0.000
Au 0.334 0.834 0.500
Au 0.500 0.500 0.000
Au 0.666 0.166 0.500
Au 0.831 0.831 0.000

Calculated values
Calculated total energy, hartree per atom: -0.1695
Energy of formation from the pure elements, kJ per mole of atoms: -73
D(E_F), states/eV/f.u.: 8.1
Space-group type: Immm

***

(6)
Below is a relaxed structure of AcPdAu, with properties calculated at the PBE-GGA level.

Cell: 4.025 4.025 9.343 Å, 90.00 90.00 90.00°
Fractional coordinates of all 6 atoms:
Ac 0.000 0.000 0.000
Ac 0.500 0.500 0.500
Pd 0.000 0.000 0.660
Pd 0.500 0.500 0.160
Au 0.000 0.000 0.336
Au 0.500 0.500 0.836

Calculated values
Calculated total energy, hartree per atom: -0.1795
Distance to the lowest polymorph of the same formula, meV/atom: 133.8
Energy of formation from the pure elements, kJ per mole of atoms: -67
D(E_F), states/eV/f.u.: 1.0
Space-group type: I4mm